U2NiPt after structural relaxation, computed with PBE.

Its spin magnetization is 11.1 μB/cell. The energy of formation from the pure elements comes out at 0.1726 eV per atom.

It has space group R-3m (No. 166, hexagonal axes), with a = 2.9080 Å, b = 2.9080 Å, c = 30.4282 Å, α = 90.00°, β = 90.00° and γ = 120.00°. Symmetry generates all atoms from U at (0.0000, 0.0000, 0.0905), Ni at (0.0000, 0.0000, 0.5000) and Pt at (0.0000, 0.0000, 0.0000).

---

Sm5Ga after structural relaxation, computed with PBE.

Its spin magnetization is 0.0 μB/cell. The energy of formation from the pure elements comes out at -0.1171 eV per atom.

It has space group Cmmm (No. 65), with a = 4.833 Å, b = 15.249 Å, c = 4.870 Å, α = 90.00°, β = 90.00° and γ = 90.00°. Symmetry generates all atoms from Sm at (0.000, 0.000, 0.000), Sm at (0.000, 0.159, 0.500), Sm at (0.000, 0.338, 0.000) and Ga at (0.000, 0.500, 0.500).

---

Rb3SrMg2F9 after structural relaxation, computed with PBE.

The formation energy from raw total energies is -3.306 eV per atom. Its spin magnetization is 0.0 μB/cell.

It has space group P-3m1 (No. 164), with a = 6.0866 Å, b = 6.0866 Å, c = 7.5760 Å, α = 90.00°, β = 90.00° and γ = 120.00°. Symmetry generates all atoms from Rb at (0.0000, 0.0000, 0.0000), Rb at (0.3333, 0.6667, 0.6798), Sr at (0.0000, 0.0000, 0.5000), Mg at (0.3333, 0.6667, 0.1520), F at (0.0000, 0.5000, 0.0000) and F at (0.1795, 0.3589, 0.3083).

---

Er2GaPt after structural relaxation, computed with PBE.

Its spin magnetization is 0.0 μB/cell. The energy of formation from the pure elements comes out at -0.9722 eV per atom.

It has space group P2_1/m (No. 11), with a = 5.868 Å, b = 4.385 Å, c = 7.495 Å, α = 90.00°, β = 111.31° and γ = 90.00°. Symmetry generates all atoms from Er at (0.173, 0.250, 0.409), Er at (0.270, 0.750, 0.069), Ga at (0.388, 0.750, 0.704) and Pt at (0.151, 0.250, 0.792).

---

Copy entry 2 word for word.
Sm5Ga after structural relaxation, computed with PBE.

Its spin magnetization is 0.0 μB/cell. The energy of formation from the pure elements comes out at -0.1171 eV per atom.

It has space group Cmmm (No. 65), with a = 4.833 Å, b = 15.249 Å, c = 4.870 Å, α = 90.00°, β = 90.00° and γ = 90.00°. Symmetry generates all atoms from Sm at (0.000, 0.000, 0.000), Sm at (0.000, 0.159, 0.500), Sm at (0.000, 0.338, 0.000) and Ga at (0.000, 0.500, 0.500).